A relaxed Ba6NaNi2 crystal. Source: Alexandria via LeMat-Bulk, functional GGA-PBE.

- Formation energy from the elements: 0.03 eV/atom

Cell and atoms, written as POSCAR:
```
Ba6NaNi2
1.0
0.8799 -3.2088 -9.5940
9.2914 2.5659 3.1942
-3.7700 -7.2321 6.0497
Ba Na Ni
12 2 4
Cartesian
5.4997 -4.5125 1.8858
0.9016 -3.3625 -2.2359
6.5913 -0.5689 3.2245
-0.1900 -7.3061 -3.5745
9.0591 -1.4662 -3.0678
-2.6579 -6.4089 2.7177
3.3977 -1.1083 0.4944
3.0036 -6.7667 -0.8445
3.5499 -1.4581 -5.5265
2.8514 -6.4170 5.1765
0.8721 -4.7442 1.8627
5.5292 -3.1308 -2.2128
2.7607 -2.3331 4.6220
0.0000 0.0000 0.0000
-0.8873 -5.6919 -0.8382
7.2885 -2.1832 0.4882
6.0807 -0.3844 -3.8260
0.3206 -7.4907 3.4759
```


A relaxed Ba5Na2Ni2 crystal. Source: Alexandria via LeMat-Bulk, functional GGA-PBE.

- Formation energy from the elements: 0.05 eV/atom

Cell and atoms, written as POSCAR:
```
Ba5Na2Ni2
1.0
-4.7725 -6.8243 -1.7518
5.1687 -1.9610 -6.4423
3.5408 -9.2327 5.6511
Ba Na Ni
10 4 4
Cartesian
0.0000 0.0000 0.0000
0.1981 -4.3926 -4.0971
1.6362 -10.5564 2.5695
3.3247 -14.2226 -2.2331
4.9346 -10.5159 -0.3895
0.0263 -14.2631 0.7260
2.3007 -7.4615 -5.1126
0.6123 -3.7953 -0.3100
-0.9977 -7.5020 -2.1535
3.9106 -3.7548 -3.2691
0.8138 -6.5547 2.6480
1.0118 -10.9473 -1.4490
-2.0455 -9.5023 1.2513
2.9251 -7.0706 -1.0940
1.5904 -1.4701 -2.7552
-1.1943 -7.3151 -5.4389
2.7466 -4.4928 -6.5006
-2.3504 -4.2925 -1.6935
```


A relaxed Ba6NaNi crystal. Source: Alexandria via LeMat-Bulk, functional GGA-PBE.

- Formation energy from the elements: 0.03 eV/atom

Cell and atoms, written as POSCAR:
```
Ba6NaNi
1.0
-2.4977 5.4074 -4.9861
-5.7720 -5.1526 -0.6893
2.7707 3.2151 10.0128
Ba Na Ni
6 1 1
Cartesian
-0.1388 2.8679 0.9934
-1.3286 -0.9692 2.5547
-4.1705 4.4391 1.7828
-5.3602 0.6021 3.3441
-2.7423 0.3373 -1.2606
-2.7568 3.1326 5.5981
1.3854 1.6076 5.0064
0.0000 0.0000 0.0000
```


A relaxed Ba10Na2Ni3 crystal. Source: Alexandria via LeMat-Bulk, functional GGA-PBE.

- Formation energy from the elements: 0.01 eV/atom

Cell and atoms, written as POSCAR:
```
Ba10Na2Ni3
1.0
8.4850 0.0000 -2.7615
-1.4485 11.1472 -4.4507
0.3245 0.2494 15.4131
Ba Na Ni
20 4 6
Cartesian
4.2947 10.8076 5.9711
0.0424 10.8076 7.3551
3.0662 0.5890 2.2297
7.3185 0.5890 0.8457
4.6548 6.2773 6.9117
0.3050 6.2773 8.3274
2.7061 5.1193 1.2891
7.0560 5.1193 -0.1266
7.4754 9.2508 8.5524
-0.1144 2.1458 -0.3515
7.2571 2.9957 7.8817
0.1039 8.4009 0.3192
5.6265 8.0395 2.8717
1.7344 3.3571 5.3292
3.2660 9.3390 10.0349
4.0950 2.0576 -1.8340
5.7531 5.5736 -4.3335
1.2833 5.5736 -2.8787
4.4047 0.1247 6.3258
0.1622 0.1247 7.7065
5.9261 3.5407 3.7922
1.4348 7.8559 4.4086
4.3015 8.3486 -1.1995
3.0595 3.0480 9.4004
7.3756 6.0699 8.2457
-0.0146 5.3267 -0.0449
5.7421 11.0337 3.2268
1.6188 0.3628 4.9740
6.3344 0.0000 -2.0616
2.1505 0.0000 -0.6999
```